(1)
Cs12Ge3H5, optimized geometry, DFT PBE; SG = Ia-3d (230); raw total energy = -2.011 eV/atom; DOS(E_F) = 11.4 states/eV/f.u.; V = 3948.0 Å³ per cell
1.0
17.2452 0.0000 0.0000
-5.7484 16.2589 0.0000
-5.7484 -8.1295 14.0806
Ge H Cs
12 20 48
direct
0.7500 0.3750 0.1250 Ge
0.8750 0.7500 0.1250 Ge
0.3750 0.7500 0.6250 Ge
0.2500 0.1250 0.3750 Ge
0.8750 0.1250 0.2500 Ge
0.3750 0.6250 0.2500 Ge
0.6250 0.3750 0.7500 Ge
0.1250 0.8750 0.7500 Ge
0.7500 0.8750 0.6250 Ge
0.6250 0.2500 0.3750 Ge
0.1250 0.2500 0.8750 Ge
0.2500 0.6250 0.8750 Ge
0.1250 0.3750 0.2500 H
0.0000 0.5000 0.0000 H
0.0000 0.0000 0.0000 H
0.3750 0.2500 0.1250 H
0.5000 0.0000 0.5000 H
0.5000 0.5000 0.0000 H
0.1250 0.7500 0.3750 H
0.7500 0.1250 0.8750 H
0.7500 0.6250 0.3750 H
0.3750 0.1250 0.7500 H
0.6250 0.8750 0.2500 H
0.5000 0.5000 0.5000 H
0.5000 0.0000 0.0000 H
0.0000 0.0000 0.5000 H
0.2500 0.3750 0.6250 H
0.2500 0.8750 0.1250 H
0.0000 0.5000 0.5000 H
0.8750 0.2500 0.6250 H
0.6250 0.7500 0.8750 H
0.8750 0.6250 0.7500 H
0.7066 0.1248 0.0285 Cs
0.3219 0.5285 0.4037 Cs
0.9715 0.3752 0.2934 Cs
0.5285 0.2066 0.1248 Cs
0.5818 0.7066 0.6781 Cs
0.9715 0.5963 0.1781 Cs
0.3219 0.7934 0.4182 Cs
0.0963 0.9182 0.1248 Cs
0.5963 0.9715 0.6781 Cs
0.7066 0.5818 0.1781 Cs
0.7934 0.4715 0.3752 Cs
0.8219 0.9037 0.0285 Cs
0.1248 0.7066 0.5285 Cs
0.3752 0.4037 0.0818 Cs
0.0818 0.9037 0.3752 Cs
0.4182 0.1248 0.5963 Cs
0.0818 0.1781 0.2066 Cs
0.4715 0.6781 0.0963 Cs
0.8219 0.9182 0.2934 Cs
0.1248 0.4182 0.0963 Cs
0.3752 0.9715 0.7934 Cs
0.5963 0.6248 0.4182 Cs
0.9037 0.8219 0.5285 Cs
0.7934 0.3219 0.9182 Cs
0.4037 0.3752 0.5818 Cs
0.0963 0.1781 0.4715 Cs
0.2066 0.6781 0.0818 Cs
0.1781 0.0818 0.7066 Cs
0.6248 0.0285 0.2066 Cs
0.8752 0.5818 0.9037 Cs
0.5285 0.3219 0.9037 Cs
0.5818 0.8752 0.4037 Cs
0.9182 0.8219 0.7934 Cs
0.9182 0.0963 0.6248 Cs
0.8752 0.2934 0.4715 Cs
0.1781 0.0963 0.9715 Cs
0.6248 0.5963 0.9182 Cs
0.4037 0.0285 0.3219 Cs
0.2934 0.4182 0.8219 Cs
0.2066 0.5285 0.6248 Cs
0.9037 0.0818 0.8752 Cs
0.6781 0.2066 0.5818 Cs
0.4715 0.7934 0.8752 Cs
0.0285 0.4037 0.8219 Cs
0.4182 0.2934 0.3219 Cs
0.0285 0.6248 0.7066 Cs
0.6781 0.4715 0.5963 Cs
0.2934 0.8752 0.9715 Cs

---

(2)
TaCo, optimized geometry, DFT PBE; SG = F-43m (216); raw total energy = -8.386 eV/atom; DOS(E_F) = 0.3 states/eV/f.u.; formation energy from the elements = 1.094 eV per atom; V = 40.1 Å³ per cell
1.0
-2.0513 -2.8307 1.5932
1.6505 -2.3853 2.5190
-0.9509 0.1748 3.7181
Co Ta
1 1
direct
0.0000 0.0000 0.0000 Co
0.2500 0.2500 0.2500 Ta

---

(3)
YGa3Pd, optimized geometry, DFT PBE; SG = P2_1/c (14); excess energy over the best structure of this formula in the dataset = 65 meV/atom; raw total energy = -4.740 eV/atom; DOS(E_F) = 2.3 states/eV/f.u.; formation energy from the elements = -0.593 eV per atom; V = 368.6 Å³ per cell
1.0
5.7186 0.0000 0.0000
0.0000 7.6079 -1.0414
0.0000 0.1179 8.4562
Y Ga Pd
4 12 4
direct
0.1242 0.8070 0.3754 Y
0.8758 0.1930 0.6246 Y
0.6242 0.6930 0.6246 Y
0.3758 0.3070 0.3754 Y
0.8346 0.4981 0.8844 Ga
0.1654 0.5019 0.1156 Ga
0.3346 0.0019 0.1156 Ga
0.6654 0.9981 0.8844 Ga
0.6072 0.6317 0.2298 Ga
0.3928 0.3683 0.7702 Ga
0.1072 0.8683 0.7702 Ga
0.8928 0.1317 0.2298 Ga
0.8826 0.4441 0.3705 Ga
0.1174 0.5559 0.6295 Ga
0.3826 0.0559 0.6295 Ga
0.6174 0.9441 0.3705 Ga
0.5662 0.3000 0.0422 Pd
0.4338 0.7000 0.9578 Pd
0.0662 0.2000 0.9578 Pd
0.9338 0.8000 0.0422 Pd

---

(4)
Ag6SeI3Br2, optimized geometry, DFT PBE; SG = C2/m (12); raw total energy = -2.541 eV/atom; DOS(E_F) = 3.2 states/eV/f.u.; formation energy (no corrections) = -0.1582 eV/atom; V = 333.3 Å³ per cell
1.0
-4.5523 -1.1699 -5.5655
7.0066 -1.1340 -1.6396
-1.8211 -5.4450 5.4116
Ag Se I Br
6 1 3 2
direct
0.9439 0.6196 0.7512 Ag
0.7878 0.7878 0.1828 Ag
0.0561 0.3804 0.2488 Ag
0.6196 0.9439 0.7512 Ag
0.2122 0.2122 0.8172 Ag
0.3804 0.0561 0.2488 Ag
0.0000 0.0000 0.0000 Se
0.1703 0.8297 0.5000 I
0.8297 0.1703 0.5000 I
0.5000 0.5000 0.5000 I
0.3343 0.6657 0.0000 Br
0.6657 0.3343 0.0000 Br

---

(5)
PaCoB3, optimized geometry, DFT PBE; SG = Cmmm (65); raw total energy = -7.328 eV/atom; DOS(E_F) = 3.2 states/eV/f.u.; formation energy from the elements = -0.001 eV per atom; V = 116.5 Å³ per cell
1.0
3.8334 0.0000 0.0000
0.0000 3.2947 0.0000
0.0000 -1.6474 9.2251
Pa Co B
2 2 6
direct
0.5000 0.8347 0.6694 Pa
0.5000 0.1653 0.3306 Pa
0.0000 0.6049 0.2098 Co
0.0000 0.3951 0.7902 Co
0.0000 0.0455 0.0910 B
0.0000 0.9545 0.9090 B
0.0000 0.2720 0.5440 B
0.0000 0.7280 0.4560 B
0.5000 0.4546 0.9092 B
0.5000 0.5454 0.0908 B

---

(6)
PmCo3Si2, optimized geometry, DFT PBE; SG = P6/mmm (191); raw total energy = -6.802 eV/atom; DOS(E_F) = 1.7 states/eV/f.u.; formation energy (no corrections) = -0.6501 eV/atom; V = 84.6 Å³ per cell
1.0
-1.0080 -2.3579 2.3976
4.6845 -2.3943 -0.3852
-0.7021 3.8721 3.5128
Pm Co Si
1 3 2
direct
0.5556 0.0000 0.0000 Pm
0.0549 0.5000 0.5000 Co
0.0549 0.5000 0.0000 Co
0.0549 0.0000 0.5000 Co
0.5549 0.6667 0.3333 Si
0.5549 0.3333 0.6667 Si